No. 1
PmPr4Sm2Tm, optimized geometry, DFT GGA-PBE; ΔH_f (0 K) = 10 kJ/mol of formula units; density of states at the Fermi level = 11.16 states/eV/cell
1.0
5.2012 0.0000 0.0000
0.0000 5.0370 1.1694
0.0000 2.7147 11.1796
Pm Pr Sm Tm
1 4 2 1
Cartesian
2.6006 5.2332 11.7643 Pm
0.0001 5.8234 9.2334 Pr
5.2012 1.9283 3.1156 Pr
2.6006 4.4493 3.6961 Pr
2.6006 3.3024 8.6529 Pr
0.0000 2.7147 11.1796 Sm
2.6006 1.3573 5.5898 Sm
0.0000 3.8758 6.1745 Tm



No. 2
Cs3Ho2CdSe6, optimized geometry, DFT GGA-PBE; raw total energy = -49.26 eV per cell; density of states at the Fermi level = 12.90 states/eV/cell
1.0
-2.8800 -4.9973 4.5604
1.4160 -1.7903 -6.9896
8.2023 -0.2007 2.9952
Cs Ho Cd Se
3 2 1 6
Cartesian
4.8109 -2.4179 -3.5930 Cs
1.9275 -4.5704 4.1590 Cs
3.3692 -3.4941 0.2830 Cs
-0.0143 -2.8580 -3.1442 Ho
-1.4497 -3.9296 0.7150 Ho
0.0000 0.0000 0.0000 Cd
4.8289 -5.9261 2.5228 Se
0.4515 -4.9509 -1.2067 Se
1.9094 -1.0622 -1.9568 Se
6.2808 -4.8423 -1.3804 Se
6.2868 -2.0374 1.7727 Se
0.4576 -2.1460 1.9464 Se



Repeat the second record exactly.
Cs3Ho2CdSe6, optimized geometry, DFT GGA-PBE; raw total energy = -49.26 eV per cell; density of states at the Fermi level = 12.90 states/eV/cell
1.0
-2.8800 -4.9973 4.5604
1.4160 -1.7903 -6.9896
8.2023 -0.2007 2.9952
Cs Ho Cd Se
3 2 1 6
Cartesian
4.8109 -2.4179 -3.5930 Cs
1.9275 -4.5704 4.1590 Cs
3.3692 -3.4941 0.2830 Cs
-0.0143 -2.8580 -3.1442 Ho
-1.4497 -3.9296 0.7150 Ho
0.0000 0.0000 0.0000 Cd
4.8289 -5.9261 2.5228 Se
0.4515 -4.9509 -1.2067 Se
1.9094 -1.0622 -1.9568 Se
6.2808 -4.8423 -1.3804 Se
6.2868 -2.0374 1.7727 Se
0.4576 -2.1460 1.9464 Se



> Number 1 is which compound?

PmPr4Sm2Tm



> Which of these has the highest density of states at the Fermi level?

Cs3Ho2CdSe6



> Among the records above, which one has the highest density of states at the Fermi level?

Cs3Ho2CdSe6